# Pm3Cd (PBE, optimized geometry)
data_Pm3Cd
_space_group_name_H-M_alt 'I 4/m m m'
_space_group_IT_number 139
_space_group_name_Hall '-I 4 2'
_cell_length_a 4.881
_cell_length_b 4.881
_cell_length_c 10.127
_cell_angle_alpha 90.00
_cell_angle_beta 90.00
_cell_angle_gamma 90.00
loop_
_atom_site_label
_atom_site_type_symbol
_atom_site_fract_x
_atom_site_fract_y
_atom_site_fract_z
Pm1 Pm 0.000 0.000 0.000
Pm2 Pm 0.000 0.500 0.250
Cd1 Cd 0.000 0.000 0.500
# * DOS at the Fermi energy: 9.010 states/eV per cell
# * final energy: -15.58 eV per formula unit
# * energy of formation: -2.37 kcal/mol of atoms